Here is a relaxed structure of Sm8Ge3Te4Cl from Alexandria via LeMat-Bulk. Energies are from PBE.

```
Sm8Ge3Te4Cl
1.0
4.3064 2.4863 7.2085
-4.3064 2.4863 7.2085
0.0000 -4.9726 7.2085
Sm Ge Te Cl
8 3 4 1
Direct
0.2293 0.7475 0.7475
0.2410 0.2410 0.2410
0.2525 0.2525 0.7707
0.2525 0.7707 0.2525
0.7475 0.2293 0.7475
0.7475 0.7475 0.2293
0.7590 0.7590 0.7590
0.7707 0.2525 0.2525
0.0000 0.0000 0.5000
0.0000 0.5000 0.0000
0.5000 0.0000 0.0000
0.0000 0.0000 0.0000
0.0000 0.5000 0.5000
0.5000 0.0000 0.5000
0.5000 0.5000 0.0000
0.5000 0.5000 0.5000
```

Its crystal system is trigonal. The symmetry is R-3m, No. 166. As for the raw total energy: -5.42 eV/atom. As for the formation energy without anion corrections: -29.854 kcal/mol of atoms. Its theoretical density is 7.05 g/cm3.